(1)
Entry from Alexandria via LeMat-Bulk: a relaxed LuScV4 crystal (GGA-PBE).

Output
As for the total energy: -7.62 eV/atom. The formation energy comes out at 1.58 eV per formula unit. The space group is No. 216.

Cell lengths 5.3176, 5.3176, 5.3176 Å; angles 60.00, 60.00, 60.00 degrees
Site moments in Bohr magnetons follow the coordinates.
Sites, in units of the cell vectors:
Sc 0.2500 0.2500 0.2500  -0.38
Lu 0.0000 0.0000 0.0000  -0.42
V 0.6252 0.6252 0.1245  -0.70
V 0.6252 0.1245 0.6252  -0.70
V 0.6252 0.6252 0.6252  -0.70
V 0.1245 0.6252 0.6252  -0.70

(2)
Entry from Alexandria via LeMat-Bulk: a relaxed TaAlFe crystal (GGA-PBE).

Output
As for the total energy: -8.35 eV/atom. The formation energy comes out at -0.99 eV per formula unit. The space group is No. 38.

Cell lengths 4.9217, 4.9217, 8.1056 Å; angles 90.00, 90.00, 119.31 degrees
Site moments in Bohr magnetons follow the coordinates.
Sites, in units of the cell vectors:
Ta 0.3353 0.6647 0.1959  -0.02
Ta 0.6664 0.3336 0.3200  -0.03
Ta 0.6664 0.3336 0.6800  -0.03
Ta 0.3353 0.6647 0.8041  -0.02
Al 0.9931 0.0069 0.2582  -0.02
Al 0.9931 0.0069 0.7418  -0.02
Al 0.8347 0.6525 0.0000  -0.01
Al 0.3475 0.1653 0.0000  -0.01
Fe 0.8369 0.1631 0.0000  1.20
Fe 0.1709 0.3493 0.5000  1.54
Fe 0.6507 0.8291 0.5000  1.54
Fe 0.1697 0.8303 0.5000  1.76

(3)
Entry from Alexandria via LeMat-Bulk: a relaxed MnAsOs2 crystal (GGA-PBE).

Output
As for the total energy: -8.77 eV/atom. The formation energy comes out at 1.19 eV per formula unit. The space group is No. 8.

Cell lengths 4.6954, 4.6954, 4.4824 Å; angles 85.71, 85.71, 35.58 degrees
Site moments in Bohr magnetons follow the coordinates.
Sites, in units of the cell vectors:
As 0.5054 0.5054 0.4668  -0.04
Mn 0.2607 0.2607 0.2606  2.51
Os 0.9994 0.9994 0.9946  -0.12
Os 0.7345 0.7345 0.7780  -0.08

(4)
Entry from Alexandria via LeMat-Bulk: a relaxed BaY4Se crystal (GGA-PBE).

Output
As for the total energy: -4.95 eV/atom. The space group is No. 216.

Cell lengths 6.7478, 6.7478, 6.7478 Å; angles 60.00, 60.00, 60.00 degrees
Sites, in units of the cell vectors:
Ba 0.7500 0.7500 0.7500
Y 0.8736 0.3755 0.3755
Y 0.3755 0.3755 0.8736
Y 0.3755 0.8736 0.3755
Y 0.3755 0.3755 0.3755
Se 0.0000 0.0000 0.0000

(5)
Entry from Alexandria via LeMat-Bulk: a relaxed Pr2Y7Tm2 crystal (GGA-PBE).

Output
As for the total energy: -5.62 eV/atom. The formation energy comes out at 1.97 eV per formula unit. The space group is No. 12.

Cell lengths 8.5337, 6.6367, 6.6367 Å; angles 88.69, 81.28, 81.28 degrees
Sites, in units of the cell vectors:
Pr 0.8643 0.3916 0.3916
Pr 0.1357 0.6084 0.6084
Y 0.1958 0.0984 0.4999
Y 0.8042 0.5001 0.9016
Y 0.8042 0.9016 0.5001
Y 0.1958 0.4999 0.0984
Y 0.0000 0.0000 0.0000
Y 0.4753 0.6904 0.6904
Y 0.5247 0.3096 0.3096
Tm 0.5000 0.1824 0.8176
Tm 0.5000 0.8176 0.1824

(6)
Entry from Alexandria via LeMat-Bulk: a relaxed Pm3Sc2Hg7 crystal (GGA-PBE).

Output
As for the total energy: -2.71 eV/atom. The formation energy comes out at -3.53 eV per formula unit. The space group is No. 65.

Cell lengths 5.5091, 5.0991, 11.5478 Å; angles 102.76, 90.00, 90.00 degrees
Sites, in units of the cell vectors:
Pm 0.5000 0.5000 0.0000
Pm 0.5000 0.6723 0.3446
Pm 0.5000 0.3277 0.6554
Sc 0.0000 0.8587 0.7174
Sc 0.0000 0.1413 0.2826
Hg 0.0000 0.4208 0.8416
Hg 0.0000 0.7254 0.4507
Hg 0.0000 0.0000 0.0000
Hg 0.0000 0.5792 0.1584
Hg 0.5000 0.0904 0.1807
Hg 0.5000 0.9096 0.8193
Hg 0.0000 0.2746 0.5493

(7)
Entry from Alexandria via LeMat-Bulk: a relaxed PmCd2Ni crystal (GGA-PBE).

Output
As for the total energy: -3.41 eV/atom. The formation energy comes out at -1.27 eV per formula unit. The space group is No. 63.

Cell lengths 4.1212, 5.3701, 8.3330 Å; angles 90.00, 90.00, 112.59 degrees
Sites, in units of the cell vectors:
Pm 0.9368 0.8732 0.2500
Pm 0.0632 0.1268 0.7500
Cd 0.3536 0.7070 0.5504
Cd 0.6464 0.2930 0.4496
Cd 0.3536 0.7070 0.9496
Cd 0.6464 0.2930 0.0504
Ni 0.7742 0.5473 0.7500
Ni 0.2258 0.4527 0.2500

(8)
Entry from Alexandria via LeMat-Bulk: a relaxed PrLuNiOs crystal (GGA-PBE).

Output
As for the total energy: -6.75 eV/atom. The formation energy comes out at -0.70 eV per formula unit. The space group is No. 216.

Cell lengths 4.8572, 4.8572, 4.8572 Å; angles 60.00, 60.00, 60.00 degrees
Sites, in units of the cell vectors:
Pr 0.7500 0.7500 0.7500
Ni 0.0000 0.0000 0.0000
Lu 0.2500 0.2500 0.2500
Os 0.5000 0.5000 0.5000

(9)
Entry from Alexandria via LeMat-Bulk: a relaxed FeTc2Ni crystal (GGA-PBE).

Output
As for the total energy: -8.54 eV/atom. The formation energy comes out at 0.83 eV per formula unit. The space group is No. 216.

Cell lengths 4.2143, 4.2143, 4.2143 Å; angles 60.00, 60.00, 60.00 degrees
Site moments in Bohr magnetons follow the coordinates.
Sites, in units of the cell vectors:
Fe 0.5000 0.5000 0.5000  2.52
Ni 0.7500 0.7500 0.7500  -0.06
Tc 0.0000 0.0000 0.0000  -0.36
Tc 0.2500 0.2500 0.2500  0.18

(10)
Entry from Alexandria via LeMat-Bulk: a relaxed CaIn2Te crystal (GGA-PBE).

Output
As for the total energy: -3.19 eV/atom. The space group is No. 123.

Cell lengths 4.4755, 4.4756, 5.8552 Å; angles 90.00, 90.00, 89.99 degrees
Sites, in units of the cell vectors:
Ca 0.0000 0.5000 0.5000
Te 0.5000 0.0000 0.5000
In 0.0000 0.0000 0.0000
In 0.5000 0.5000 0.0000

(11)
Entry from Alexandria via LeMat-Bulk: a relaxed Li2Ca2PrIn2 crystal (GGA-PBE).

Output
As for the total energy: -2.86 eV/atom. The formation energy comes out at -1.91 eV per formula unit. The space group is No. 166.

Cell lengths 5.0555, 5.0555, 9.4615 Å; angles 74.50, 74.50, 60.00 degrees
Sites, in units of the cell vectors:
Li 0.6063 0.6063 0.1811
Li 0.3937 0.3937 0.8189
Ca 0.1276 0.1276 0.6172
Ca 0.8724 0.8724 0.3828
Pr 0.0000 0.0000 0.0000
In 0.7338 0.7338 0.7985
In 0.2662 0.2662 0.2015

(12)
Entry from Alexandria via LeMat-Bulk: a relaxed NbAgRuRh2 crystal (GGA-PBE).

Output
As for the total energy: -6.24 eV/atom. The formation energy comes out at 5.69 eV per formula unit. The space group is No. 123.

Cell lengths 4.7344, 4.6908, 4.7344 Å; angles 90.00, 90.00, 90.00 degrees
Site moments in Bohr magnetons follow the coordinates.
Sites, in units of the cell vectors:
Ru 0.0000 0.5000 0.0000  0.80
Nb 0.0000 0.0000 0.0000  -0.11
Rh 0.0000 0.0000 0.5000  0.10
Rh 0.5000 0.0000 0.0000  0.15
Ag 0.5000 0.5000 0.5000  0.01

(13)
Entry from Alexandria via LeMat-Bulk: a relaxed Cu2SiIr crystal (GGA-PBE).

Output
As for the total energy: -5.73 eV/atom. The space group is No. 139.

Cell lengths 4.7933, 4.7933, 4.7933 Å; angles 136.64, 136.64, 62.99 degrees
Sites, in units of the cell vectors:
Cu 0.0000 0.0000 0.0000
Cu 0.5000 0.5000 0.0000
Ir 0.2500 0.7500 0.5000
Si 0.7500 0.2500 0.5000

(14)
Entry from Alexandria via LeMat-Bulk: a relaxed CdGeIO2 crystal (GGA-PBE).

Output
As for the total energy: -3.74 eV/atom. The space group is No. 123.

Cell lengths 3.9564, 3.9564, 6.2455 Å; angles 90.00, 90.00, 90.00 degrees
Sites, in units of the cell vectors:
I 0.0000 0.0000 0.5000
Ge 0.0000 0.0000 0.0000
O 0.0000 0.5000 0.0000
O 0.5000 0.0000 0.0000
Cd 0.5000 0.5000 0.5000

(15)
Entry from Alexandria via LeMat-Bulk: a relaxed CdIn4P crystal (GGA-PBE).

Output
As for the total energy: -2.45 eV/atom. The formation energy comes out at 2.55 eV per formula unit. The space group is No. 216.

Cell lengths 6.1121, 6.1121, 6.1121 Å; angles 60.00, 60.00, 60.00 degrees
Site moments in Bohr magnetons follow the coordinates.
Sites, in units of the cell vectors:
Cd 0.0000 0.0000 0.0000  0.01
In 0.8739 0.3754 0.3754  0.01
In 0.3754 0.3754 0.8739  0.01
In 0.3754 0.8739 0.3754  0.01
In 0.3754 0.3754 0.3754  0.01
P 0.7500 0.7500 0.7500  0.12

(16)
Entry from Alexandria via LeMat-Bulk: a relaxed FePt2Cl crystal (GGA-PBE).

Output
As for the total energy: -5.05 eV/atom. The space group is No. 123.

Cell lengths 4.9736, 3.6997, 3.6997 Å; angles 90.00, 90.00, 90.00 degrees
Site moments in Bohr magnetons follow the coordinates.
Sites, in units of the cell vectors:
Fe 0.5000 0.0000 0.5000  3.43
Pt 0.0000 0.0000 0.0000  0.31
Pt 0.0000 0.5000 0.5000  0.31
Cl 0.5000 0.5000 0.0000  0.15

(17)
Entry from Alexandria via LeMat-Bulk: a relaxed Ta2AlSi crystal (GGA-PBE).

Output
As for the total energy: -8.41 eV/atom. The space group is No. 12.

Cell lengths 4.9975, 4.9975, 2.8450 Å; angles 82.34, 82.34, 110.55 degrees
Sites, in units of the cell vectors:
Si 0.0000 0.5000 0.5000
Al 0.5000 0.0000 0.5000
Ta 0.0000 0.0000 0.0000
Ta 0.5000 0.5000 0.0000

(18)
Entry from Alexandria via LeMat-Bulk: a relaxed KLiIn2As crystal (GGA-PBE).

Output
As for the total energy: -1.88 eV/atom. The formation energy comes out at 3.76 eV per formula unit. The space group is No. 123.

Cell lengths 5.9829, 5.7322, 5.9829 Å; angles 90.00, 90.00, 90.00 degrees
Sites, in units of the cell vectors:
As 0.0000 0.5000 0.0000
Li 0.5000 0.5000 0.5000
K 0.0000 0.0000 0.0000
In 0.0000 0.0000 0.5000
In 0.5000 0.0000 0.0000

(19)
Entry from Alexandria via LeMat-Bulk: a relaxed PrHo3Th crystal (GGA-PBE).

Output
As for the total energy: -5.01 eV/atom. The formation energy comes out at 0.86 eV per formula unit. The space group is No. 65.

Cell lengths 5.3247, 6.2420, 11.0145 Å; angles 90.00, 89.99, 64.75 degrees
Sites, in units of the cell vectors:
Pr 0.3476 0.3048 0.5000
Pr 0.6524 0.6952 0.5000
Ho 0.9999 0.0000 0.3236
Ho 0.0001 0.0000 0.6764
Ho 0.3489 0.3025 0.1923
Ho 0.3486 0.3025 0.8077
Ho 0.6511 0.6975 0.8077
Ho 0.6514 0.6975 0.1923
Th 0.1350 0.7299 0.0000
Th 0.8650 0.2701 0.0000

(20)
Entry from Alexandria via LeMat-Bulk: a relaxed CdHg2 crystal (GGA-PBE).

Output
As for the total energy: -0.46 eV/atom. The formation energy comes out at 0.13 eV per formula unit. The space group is No. 139.

Cell lengths 3.5295, 3.5295, 6.5307 Å; angles 74.32, 74.32, 90.00 degrees
Sites, in units of the cell vectors:
Hg 0.3376 0.3376 0.3248
Hg 0.6624 0.6624 0.6752
Cd 0.0000 0.0000 0.0000

(21)
Entry from Alexandria via LeMat-Bulk: a relaxed MgCuPb2 crystal (GGA-PBE).

Output
As for the total energy: -3.17 eV/atom. The formation energy comes out at 0.44 eV per formula unit. The space group is No. 8.

Cell lengths 6.2961, 6.2961, 5.1783 Å; angles 65.15, 65.15, 31.44 degrees
Sites, in units of the cell vectors:
Cu 0.4891 0.4891 0.5139
Mg 0.7947 0.7947 0.7030
Pb 0.0035 0.0035 0.9975
Pb 0.2126 0.2126 0.2856

(22)
Entry from Alexandria via LeMat-Bulk: a relaxed LaDyAgAu crystal (GGA-PBE).

Output
As for the total energy: -4.44 eV/atom. The formation energy comes out at -2.12 eV per formula unit. The space group is No. 216.

Cell lengths 5.2526, 5.2526, 5.2526 Å; angles 60.00, 60.00, 60.00 degrees
Sites, in units of the cell vectors:
La 0.5000 0.5000 0.5000
Au 0.7500 0.7500 0.7500
Ag 0.2500 0.2500 0.2500
Dy 0.0000 0.0000 0.0000